1.
TiBi2Cl | PBE | relaxed

The structure in CIF format:
```
data_TiBi2Cl
_chemical_formula_sum 'Ti4 Bi8 Cl4'
_space_group_name_H-M_alt 'I -4 2 d'
_space_group_IT_number 122
_space_group_name_Hall 'I -4 2bw'
_cell_length_a 4.534
_cell_length_b 4.534
_cell_length_c 22.065
_cell_angle_alpha 90.00
_cell_angle_beta 90.00
_cell_angle_gamma 90.00
loop_
_atom_site_label
_atom_site_type_symbol
_atom_site_fract_x
_atom_site_fract_y
_atom_site_fract_z
Ti1 Ti 0.000 0.000 0.000
Bi1 Bi 0.219 0.250 0.125
Cl1 Cl 0.000 0.000 0.500
```

Results
Crystal system: tetragonal
DOS(E_F), states/eV per cell: 1.81
E_form (uncorrected), eV per atom: 0.12
Volume, A^3/atom: 28.4
Energy above the most stable polymorph in this dataset, eV per atom: 0.000
Density, g cm⁻³: 7.3

=====

2.
TiBi3Cl | PBE | relaxed

The structure in CIF format:
```
data_TiBi3Cl
_chemical_formula_sum 'Ti1 Bi3 Cl1'
_space_group_name_H-M_alt 'P m -3 m'
_space_group_IT_number 221
_space_group_name_Hall '-P 4 2 3'
_cell_length_a 5.403
_cell_length_b 5.403
_cell_length_c 5.403
_cell_angle_alpha 90.00
_cell_angle_beta 90.00
_cell_angle_gamma 90.00
loop_
_atom_site_label
_atom_site_type_symbol
_atom_site_fract_x
_atom_site_fract_y
_atom_site_fract_z
Ti1 Ti 0.000 0.000 0.000
Bi1 Bi 0.000 0.500 0.500
Cl1 Cl 0.500 0.500 0.500
```

Results
Crystal system: cubic
DOS(E_F), states/eV per cell: 5.91
E_form (uncorrected), eV per atom: 0.83
Volume, A^3/atom: 31.5
Energy above the most stable polymorph in this dataset, eV per atom: 0.870
Density, g cm⁻³: 7.5

=====

3.
TiBiCl2 | PBE | relaxed

The structure in CIF format:
```
data_TiBiCl2
_chemical_formula_sum 'Ti3 Bi3 Cl6'
_space_group_name_H-M_alt 'R -3 m'
_space_group_IT_number 166
_space_group_name_Hall '-R 3 2"'
_cell_length_a 3.2827
_cell_length_b 3.2827
_cell_length_c 33.4738
_cell_angle_alpha 90.00
_cell_angle_beta 90.00
_cell_angle_gamma 120.00
loop_
_atom_site_label
_atom_site_type_symbol
_atom_site_fract_x
_atom_site_fract_y
_atom_site_fract_z
Ti1 Ti 0.0000 0.0000 0.0000
Bi1 Bi 0.0000 0.0000 0.5000
Cl1 Cl 0.0000 0.0000 0.3810
```

Results
Crystal system: trigonal
DOS(E_F), states/eV per cell: 11.36
E_form (uncorrected), eV per atom: -0.91
Volume, A^3/atom: 26.0
Energy above the most stable polymorph in this dataset, eV per atom: 0.000
Density, g cm⁻³: 5.2

=====

4.
TiBi3Cl | PBE | relaxed

The structure in CIF format:
```
data_TiBi3Cl
_chemical_formula_sum 'Ti1 Bi3 Cl1'
_space_group_name_H-M_alt 'P m -3 m'
_space_group_IT_number 221
_space_group_name_Hall '-P 4 2 3'
_cell_length_a 5.370
_cell_length_b 5.370
_cell_length_c 5.370
_cell_angle_alpha 90.00
_cell_angle_beta 90.00
_cell_angle_gamma 90.00
loop_
_atom_site_label
_atom_site_type_symbol
_atom_site_fract_x
_atom_site_fract_y
_atom_site_fract_z
Ti1 Ti 0.000 0.000 0.000
Bi1 Bi 0.000 0.000 0.500
Cl1 Cl 0.500 0.500 0.500
```

Results
Crystal system: cubic
DOS(E_F), states/eV per cell: 1.72
E_form (uncorrected), eV per atom: -0.05
Volume, A^3/atom: 31.0
Energy above the most stable polymorph in this dataset, eV per atom: 0.000
Density, g cm⁻³: 7.6

=====

5.
TiBiCl6 | PBE | relaxed

The structure in CIF format:
```
data_TiBiCl6
_chemical_formula_sum 'Ti3 Bi3 Cl18'
_space_group_name_H-M_alt 'R -3'
_space_group_IT_number 148
_space_group_name_Hall '-R 3'
_cell_length_a 6.4979
_cell_length_b 6.4979
_cell_length_c 17.6191
_cell_angle_alpha 90.00
_cell_angle_beta 90.00
_cell_angle_gamma 120.00
loop_
_atom_site_label
_atom_site_type_symbol
_atom_site_fract_x
_atom_site_fract_y
_atom_site_fract_z
Ti1 Ti 0.0000 0.0000 0.0000
Bi1 Bi 0.0000 0.0000 0.5000
Cl1 Cl 0.0062 0.6963 0.9214
```

Results
Crystal system: trigonal
DOS(E_F), states/eV per cell: 13.57
E_form (uncorrected), eV per atom: -1.22
Volume, A^3/atom: 26.8
Density, g cm⁻³: 3.6

=====

6.
TiVBiCl2 | PBE | relaxed

The structure in CIF format:
```
data_TiVBiCl2
_chemical_formula_sum 'Ti1 V1 Bi1 Cl2'
_space_group_name_H-M_alt 'P 4/m m m'
_space_group_IT_number 123
_space_group_name_Hall '-P 4 2'
_cell_length_a 4.603
_cell_length_b 4.603
_cell_length_c 6.069
_cell_angle_alpha 90.00
_cell_angle_beta 90.00
_cell_angle_gamma 90.00
loop_
_atom_site_label
_atom_site_type_symbol
_atom_site_fract_x
_atom_site_fract_y
_atom_site_fract_z
Ti1 Ti 0.000 0.000 0.000
V1 V 0.500 0.500 0.500
Bi1 Bi 0.000 0.000 0.500
Cl1 Cl 0.000 0.500 0.000
```

Results
Crystal system: tetragonal
DOS(E_F), states/eV per cell: 12.35
E_form (uncorrected), eV per atom: -0.12
Volume, A^3/atom: 25.7
Density, g cm⁻³: 4.9

=====

7.
TiVBi2Cl | PBE | relaxed

The structure in CIF format:
```
data_TiVBi2Cl
_chemical_formula_sum 'Ti1 V1 Bi2 Cl1'
_space_group_name_H-M_alt 'P 4/m m m'
_space_group_IT_number 123
_space_group_name_Hall '-P 4 2'
_cell_length_a 5.393
_cell_length_b 5.393
_cell_length_c 4.705
_cell_angle_alpha 90.00
_cell_angle_beta 90.00
_cell_angle_gamma 90.00
loop_
_atom_site_label
_atom_site_type_symbol
_atom_site_fract_x
_atom_site_fract_y
_atom_site_fract_z
Ti1 Ti 0.000 0.000 0.000
V1 V 0.000 0.000 0.500
Bi1 Bi 0.000 0.500 0.000
Cl1 Cl 0.500 0.500 0.500
```

Results
Crystal system: tetragonal
DOS(E_F), states/eV per cell: 4.70
E_form (uncorrected), eV per atom: 0.52
Volume, A^3/atom: 27.4
Energy above the most stable polymorph in this dataset, eV per atom: 0.220
Density, g cm⁻³: 6.7

=====

8.
TiVBi2Cl | PBE | relaxed

The structure in CIF format:
```
data_TiVBi2Cl
_chemical_formula_sum 'Ti1 V1 Bi2 Cl1'
_space_group_name_H-M_alt 'P 4/m m m'
_space_group_IT_number 123
_space_group_name_Hall '-P 4 2'
_cell_length_a 5.273
_cell_length_b 5.273
_cell_length_c 4.578
_cell_angle_alpha 90.00
_cell_angle_beta 90.00
_cell_angle_gamma 90.00
loop_
_atom_site_label
_atom_site_type_symbol
_atom_site_fract_x
_atom_site_fract_y
_atom_site_fract_z
Ti1 Ti 0.000 0.000 0.000
V1 V 0.000 0.000 0.500
Bi1 Bi 0.000 0.500 0.500
Cl1 Cl 0.500 0.500 0.000
```

Results
Crystal system: tetragonal
DOS(E_F), states/eV per cell: 3.73
E_form (uncorrected), eV per atom: 0.29
Volume, A^3/atom: 25.5
Energy above the most stable polymorph in this dataset, eV per atom: 0.000
Density, g cm⁻³: 7.2

=====

9.
TiBiWCl2 | PBE | relaxed

The structure in CIF format:
```
data_TiBiWCl2
_chemical_formula_sum 'Ti1 Bi1 W1 Cl2'
_space_group_name_H-M_alt 'P 4/m m m'
_space_group_IT_number 123
_space_group_name_Hall '-P 4 2'
_cell_length_a 4.551
_cell_length_b 4.551
_cell_length_c 6.274
_cell_angle_alpha 90.00
_cell_angle_beta 90.00
_cell_angle_gamma 90.00
loop_
_atom_site_label
_atom_site_type_symbol
_atom_site_fract_x
_atom_site_fract_y
_atom_site_fract_z
Ti1 Ti 0.000 0.000 0.000
Bi1 Bi 0.500 0.500 0.000
W1 W 0.500 0.500 0.500
Cl1 Cl 0.000 0.500 0.500
```

Results
Crystal system: tetragonal
DOS(E_F), states/eV per cell: 9.45
E_form (uncorrected), eV per atom: 0.64
Volume, A^3/atom: 26.0
Density, g cm⁻³: 6.5

=====

10.
ZrTi2BiCl | PBE | relaxed

The structure in CIF format:
```
data_ZrTi2BiCl
_chemical_formula_sum 'Zr1 Ti2 Bi1 Cl1'
_space_group_name_H-M_alt 'P 4/m m m'
_space_group_IT_number 123
_space_group_name_Hall '-P 4 2'
_cell_length_a 5.223
_cell_length_b 5.223
_cell_length_c 5.326
_cell_angle_alpha 90.00
_cell_angle_beta 90.00
_cell_angle_gamma 90.00
loop_
_atom_site_label
_atom_site_type_symbol
_atom_site_fract_x
_atom_site_fract_y
_atom_site_fract_z
Zr1 Zr 0.000 0.000 0.000
Ti1 Ti 0.000 0.500 0.500
Bi1 Bi 0.500 0.500 0.500
Cl1 Cl 0.500 0.500 0.000
```

Results
Crystal system: tetragonal
DOS(E_F), states/eV per cell: 7.01
E_form (uncorrected), eV per atom: 1.16
Volume, A^3/atom: 29.1
Density, g cm⁻³: 4.9

=====

Q: density of number 7 (TiVBi2Cl)?
A: 6.7 g cm⁻³